# LiDySb2

Crystalline LiDySb2 at its relaxed geometry (PBE, Alexandria).

Its energy above the most stable polymorph in this dataset is 0.0000 eV/atom. The value obtained for the density of states at the Fermi level is 0.3850 states/eV/atom. The energy relative to the elements, uncorrected is -0.79 eV/atom. As for the crystal system: tetragonal.

abc: 4.2731 4.2731 10.7036
angles: 90.00 90.00 90.00
Atoms (fractional coordinates):
Li: 0.5000 0.5000 0.0000
Li: 0.0000 0.0000 0.0000
Dy: 0.0000 0.5000 0.2683
Dy: 0.5000 0.0000 0.7317
Sb: 0.5000 0.0000 0.1696
Sb: 0.0000 0.5000 0.8304
Sb: 0.0000 0.0000 0.5000
Sb: 0.5000 0.5000 0.5000

# LiDy3Sb2

Crystalline LiDy3Sb2 at its relaxed geometry (PBE, Alexandria).

The value obtained for the density of states at the Fermi level is 1.2161 states/eV/atom. The energy relative to the elements, uncorrected is -0.73 eV/atom. As for the crystal system: orthorhombic.

abc: 6.2080 6.1489 9.4401
angles: 109.01 109.20 90.00
Atoms (fractional coordinates):
Li: 0.0000 0.2500 0.0000
Li: 0.0000 0.7500 0.0000
Dy: 0.4296 0.6782 0.3564
Dy: 0.5704 0.3218 0.6436
Dy: 0.0732 0.8218 0.6436
Dy: 0.9268 0.1782 0.3564
Dy: 0.5000 0.7500 0.0000
Dy: 0.5000 0.2500 0.0000
Sb: 0.3824 0.1363 0.2727
Sb: 0.6176 0.8637 0.7273
Sb: 0.1097 0.3637 0.7273
Sb: 0.8903 0.6363 0.2727

# LiDy6Sb3

Crystalline LiDy6Sb3 at its relaxed geometry (PBE, Alexandria).

The value obtained for the density of states at the Fermi level is 1.0291 states/eV/atom. The energy relative to the elements, uncorrected is -0.60 eV/atom. As for the crystal system: orthorhombic.

abc: 7.4875 8.6743 8.6743
angles: 89.22 90.00 90.00
Atoms (fractional coordinates):
Li: 0.9849 0.3421 0.6579
Li: 0.4849 0.6579 0.3421
Dy: 0.1618 0.6973 0.6004
Dy: 0.6618 0.6004 0.6973
Dy: 0.3322 0.5407 0.9557
Dy: 0.8322 0.9557 0.5407
Dy: 0.1352 0.1039 0.8961
Dy: 0.6387 0.2001 0.7999
Dy: 0.1387 0.7999 0.2001
Dy: 0.6352 0.8961 0.1039
Dy: 0.3322 0.0443 0.4593
Dy: 0.8322 0.4593 0.0443
Dy: 0.1618 0.3996 0.3027
Dy: 0.6618 0.3027 0.3996
Sb: 0.4477 0.8855 0.7762
Sb: 0.9477 0.7762 0.8855
Sb: 0.3431 0.3731 0.6269
Sb: 0.8431 0.6269 0.3731
Sb: 0.9477 0.1145 0.2238
Sb: 0.4477 0.2238 0.1145

# LiDySb2

Crystalline LiDySb2 at its relaxed geometry (PBE, Alexandria).

Its energy above the most stable polymorph in this dataset is 0.1813 eV/atom. The value obtained for the density of states at the Fermi level is 0.5002 states/eV/atom. The energy relative to the elements, uncorrected is -0.60 eV/atom. As for the crystal system: tetragonal.

abc: 3.9284 3.9284 6.5323
angles: 90.00 90.00 90.00
Atoms (fractional coordinates):
Sb: 0.0000 0.0000 0.7563
Sb: 0.0000 0.0000 0.2437
Li: 0.5000 0.5000 0.0000
Dy: 0.5000 0.5000 0.5000

# Li2DySb

Crystalline Li2DySb at its relaxed geometry (PBE, Alexandria).

The value obtained for the density of states at the Fermi level is 0.2251 states/eV/atom. The energy relative to the elements, uncorrected is -0.55 eV/atom. As for the crystal system: tetragonal.

abc: 4.8098 4.3661 4.3661
angles: 90.00 90.00 90.00
Atoms (fractional coordinates):
Sb: 0.5000 0.5000 0.5000
Li: 0.0000 0.0000 0.5000
Li: 0.0000 0.5000 0.0000
Dy: 0.5000 0.0000 0.0000

# LiDy5Sb2

Crystalline LiDy5Sb2 at its relaxed geometry (PBE, Alexandria).

The value obtained for the density of states at the Fermi level is 0.6548 states/eV/atom. The energy relative to the elements, uncorrected is -0.44 eV/atom. As for the crystal system: orthorhombic.

abc: 4.0679 6.1819 18.4162
angles: 90.00 90.00 109.21
Atoms (fractional coordinates):
Li: 0.8308 0.6615 0.7500
Li: 0.1692 0.3385 0.2500
Dy: 0.9475 0.8950 0.8891
Dy: 0.9475 0.8950 0.6109
Dy: 0.3542 0.7085 0.4698
Dy: 0.3542 0.7085 0.0302
Dy: 0.4209 0.8417 0.2500
Dy: 0.5791 0.1583 0.7500
Dy: 0.6458 0.2915 0.5302
Dy: 0.6458 0.2915 0.9698
Dy: 0.0525 0.1050 0.1109
Dy: 0.0525 0.1050 0.3891
Sb: 0.7605 0.5210 0.3525
Sb: 0.7605 0.5210 0.1475
Sb: 0.2395 0.4790 0.6475
Sb: 0.2395 0.4790 0.8525

# LiDySb2

Crystalline LiDySb2 at its relaxed geometry (PBE, Alexandria).

Its energy above the most stable polymorph in this dataset is 0.2149 eV/atom. The value obtained for the density of states at the Fermi level is 0.4841 states/eV/atom. The energy relative to the elements, uncorrected is -0.57 eV/atom. As for the crystal system: trigonal.

abc: 4.8179 4.8179 5.7946
angles: 65.44 65.44 60.00
Atoms (fractional coordinates):
Sb: 0.2587 0.2587 0.2240
Sb: 0.7413 0.7413 0.7760
Li: 0.0000 0.0000 0.0000
Dy: 0.5000 0.5000 0.5000

# Li3DySb2

Crystalline Li3DySb2 at its relaxed geometry (PBE, Alexandria).

Its energy above the most stable polymorph in this dataset is 0.0000 eV/atom. The value obtained for the density of states at the Fermi level is 0.0703 states/eV/atom. The energy relative to the elements, uncorrected is -0.82 eV/atom. As for the crystal system: trigonal.

abc: 4.5471 4.5471 7.1594
angles: 90.00 90.00 120.00
Atoms (fractional coordinates):
Li: 0.6667 0.3333 0.3502
Li: 0.3333 0.6667 0.6498
Li: 0.0000 0.0000 0.5000
Dy: 0.0000 0.0000 0.0000
Sb: 0.6667 0.3333 0.7519
Sb: 0.3333 0.6667 0.2481

# LiDyScSb

Crystalline LiDyScSb at its relaxed geometry (PBE, Alexandria).

The value obtained for the density of states at the Fermi level is 0.8925 states/eV/atom. The energy relative to the elements, uncorrected is -0.42 eV/atom. As for the crystal system: cubic.

abc: 5.0435 5.0435 5.0435
angles: 60.00 60.00 60.00
Atoms (fractional coordinates):
Sc: 0.7500 0.7500 0.7500
Sb: 0.5000 0.5000 0.5000
Li: 0.0000 0.0000 0.0000
Dy: 0.2500 0.2500 0.2500

# LiSmDySb

Crystalline LiSmDySb at its relaxed geometry (PBE, Alexandria).

The value obtained for the density of states at the Fermi level is 0.8451 states/eV/atom. The energy relative to the elements, uncorrected is -0.46 eV/atom. As for the crystal system: cubic.

abc: 5.2489 5.2489 5.2489
angles: 60.00 60.00 60.00
Atoms (fractional coordinates):
Sb: 0.5000 0.5000 0.5000
Li: 0.0000 0.0000 0.0000
Sm: 0.7500 0.7500 0.7500
Dy: 0.2500 0.2500 0.2500

# Li2DyTm2Sb2

Crystalline Li2DyTm2Sb2 at its relaxed geometry (PBE, Alexandria).

The value obtained for the density of states at the Fermi level is 0.9109 states/eV/atom. The energy relative to the elements, uncorrected is -0.51 eV/atom. As for the crystal system: trigonal.

abc: 4.7220 4.7220 9.0850
angles: 74.94 74.94 60.00
Each line ends with the local moment (μB).
Atoms (fractional coordinates):
Li: 0.5922 0.5922 0.2235  0.00
Li: 0.4078 0.4078 0.7765  0.00
Dy: 0.0000 0.0000 0.0000  0.01
Tm: 0.1310 0.1310 0.6071  0.09
Tm: 0.8690 0.8690 0.3929  0.09
Sb: 0.7357 0.7357 0.7929  0.00
Sb: 0.2643 0.2643 0.2071  0.00

# LiDyYSb

Crystalline LiDyYSb at its relaxed geometry (PBE, Alexandria).

The value obtained for the density of states at the Fermi level is 0.7679 states/eV/atom. The energy relative to the elements, uncorrected is -0.45 eV/atom. As for the crystal system: cubic.

abc: 5.1996 5.1996 5.1996
angles: 60.00 60.00 60.00
Atoms (fractional coordinates):
Y: 0.7500 0.7500 0.7500
Sb: 0.5000 0.5000 0.5000
Li: 0.0000 0.0000 0.0000
Dy: 0.2500 0.2500 0.2500

no.,raw total energy (eV per formula unit)
1,-17.904
2,-28.367
3,-47.927
4,-17.179
5,-14.739
6,-36.705
7,-17.044
8,-23.489
9,-18.631
10,-17.201
11,-29.177
12,-18.914